# 1
Compound: CaTaW2
Source: Alexandria
Functional: PBE-GGA
Structure: relaxed

Unit cell a=5.694 b=5.694 c=5.694 alpha=147.13 beta=128.79 gamma=62.20
Fractional coordinates of all 4 atoms:
W: 0.982 0.982 0.000
Ta: 0.233 0.733 0.500
W: 0.777 0.277 0.500
Ca: 0.509 0.509 0.000

Summary:
calculated formation energy	0.7008	eV per atom
SG	Imm2, No. 44
E above lowest polymorph	214	meV/atom
E_tot	-9.239	eV per atom

=====

# 2
Compound: CaTa2W
Source: Alexandria
Functional: PBE-GGA
Structure: relaxed

Unit cell a=3.377 b=3.377 c=7.577 alpha=90.00 beta=90.00 gamma=90.00
Fractional coordinates of all 4 atoms:
Ta: 0.500 0.500 0.262
Ca: 0.500 0.500 0.733
W: 0.000 0.000 0.437
Ta: 0.000 0.000 0.067

Summary:
calculated formation energy	0.5324	eV per atom
SG	P4mm, No. 99
E above lowest polymorph	120	meV/atom
E_tot	-9.133	eV per atom

=====

# 3
Compound: CaTa2W
Source: Alexandria
Functional: PBE-GGA
Structure: relaxed

Unit cell a=10.836 b=10.836 c=10.836 alpha=15.54 beta=15.54 gamma=15.54
Fractional coordinates of all 4 atoms:
Ca: 0.750 0.750 0.750
Ta: 0.506 0.506 0.506
Ta: 0.994 0.994 0.994
W: 0.250 0.250 0.250

Summary:
calculated formation energy	0.6944	eV per atom
SG	R-3m, No. 166
E above lowest polymorph	282	meV/atom
E_tot	-8.971	eV per atom

=====

# 4
Compound: CaTa2W
Source: Alexandria
Functional: PBE-GGA
Structure: relaxed

Unit cell a=2.800 b=2.800 c=10.157 alpha=90.00 beta=90.00 gamma=90.00
Fractional coordinates of all 4 atoms:
Ta: 0.500 0.500 0.253
Ta: 0.000 0.000 0.027
W: 0.000 0.000 0.480
Ca: 0.500 0.500 0.740

Summary:
calculated formation energy	0.5788	eV per atom
SG	P4mm, No. 99
E above lowest polymorph	167	meV/atom
E_tot	-9.086	eV per atom

=====

# 5
Compound: CaTa2W
Source: Alexandria
Functional: PBE-GGA
Structure: relaxed

Unit cell a=4.993 b=4.993 c=6.055 alpha=89.03 beta=89.03 gamma=32.04
Fractional coordinates of all 4 atoms:
Ta: 0.004 0.004 0.965
Ca: 0.250 0.250 0.250
W: 0.750 0.750 0.750
Ta: 0.496 0.496 0.535

Summary:
calculated formation energy	0.6371	eV per atom
SG	C2/m, No. 12
E above lowest polymorph	225	meV/atom
E_tot	-9.028	eV per atom

=====

# 6
Compound: CaTaW2
Source: Alexandria
Functional: PBE-GGA
Structure: relaxed

Unit cell a=2.755 b=2.755 c=10.017 alpha=90.00 beta=90.00 gamma=90.00
Fractional coordinates of all 4 atoms:
Ta: 0.500 0.500 0.750
Ca: 0.500 0.500 0.250
W: 0.000 0.000 0.980
W: 0.000 0.000 0.520

Summary:
calculated formation energy	0.6548	eV per atom
SG	P4/mmm, No. 123
E above lowest polymorph	168	meV/atom
E_tot	-9.285	eV per atom